A relaxed La2NdSmTl2 crystal, computed with GGA-PBE.

final energy = -4.30 eV per atom
ΔH_f (0 K) = -291 meV per atom

Lattice parameters (Å, degrees): 5.2382 10.4745 6.9554 90.00 90.00 90.00
Atoms (fractional coordinates):
La: 0.0000 0.0584 0.0000
La: 0.0000 0.9416 0.5000
La: 0.5000 0.1779 0.2225
La: 0.5000 0.8221 0.7225
Nd: 0.5000 0.4569 0.8652
Nd: 0.5000 0.5431 0.3652
Sm: 0.0000 0.3073 0.5882
Sm: 0.0000 0.6927 0.0882
Tl: 0.0000 0.3810 0.1280
Tl: 0.0000 0.6190 0.6280
Tl: 0.5000 0.1427 0.7083
Tl: 0.5000 0.8573 0.2083